1.
! Nd5ErTe8 | the Alexandria database | GGA-PBE | relaxed; values from VASP
&SYSTEM
  ibrav = 0, nat = 14, ntyp = 3
/
ATOMIC_SPECIES
Nd 144.24 Nd.upf
Er 167.26 Er.upf
Te 127.60 Te.upf
ATOMIC_POSITIONS angstrom
Nd 0.000 0.000 0.000
Nd 3.613 2.360 -1.187
Nd 2.374 -1.122 5.973
Nd 1.122 2.374 3.598
Nd 2.360 5.857 1.187
Er 4.735 0.000 2.393
Te 6.392 0.719 -0.469
Te 1.731 -0.679 2.853
Te 3.004 5.413 -1.933
Te 0.719 3.077 0.469
Te 4.056 3.004 1.933
Te 4.016 1.657 5.254
Te -1.657 4.016 4.317
Te 0.679 1.731 6.719
CELL_PARAMETERS angstrom
-4.735 4.735 4.786
4.735 -4.735 4.786
4.735 4.735 -4.786
! **Final energy**: -5.22 eV per atom
! **SG**: I-4, No. 82

---

2.
! NdEr3Te2 | the Alexandria database | GGA-PBE | relaxed; values from VASP
&SYSTEM
  ibrav = 0, nat = 12, ntyp = 3
/
ATOMIC_SPECIES
Nd 144.24 Nd.upf
Er 167.26 Er.upf
Te 127.60 Te.upf
ATOMIC_POSITIONS angstrom
Nd 1.800 0.000 0.473
Nd 10.890 0.000 10.214
Er -0.530 0.000 4.325
Er 2.334 0.000 6.637
Er 4.921 0.000 3.608
Er 7.768 0.000 7.078
Er 10.355 0.000 4.050
Er 13.219 0.000 6.362
Te 0.548 0.000 9.121
Te 4.848 0.000 8.832
Te 7.841 0.000 1.855
Te 12.141 0.000 1.566
CELL_PARAMETERS angstrom
8.220 -2.065 0.000
8.220 2.065 0.000
-3.751 0.000 10.687
! **Final energy**: -4.97 eV per atom
! **SG**: C2/m, No. 12

---

3.
! Nd5ErTe4 | the Alexandria database | GGA-PBE | relaxed; values from VASP
&SYSTEM
  ibrav = 0, nat = 10, ntyp = 3
/
ATOMIC_SPECIES
Nd 144.24 Nd.upf
Er 167.26 Er.upf
Te 127.60 Te.upf
ATOMIC_POSITIONS angstrom
Nd 0.000 0.000 0.000
Nd 5.692 0.000 1.207
Nd 4.996 0.000 5.922
Nd 11.969 0.000 2.583
Nd 11.273 0.000 7.298
Er -0.888 0.000 4.252
Te 2.048 0.000 4.874
Te 8.782 0.000 2.172
Te 8.183 0.000 6.333
Te 14.917 0.000 3.631
CELL_PARAMETERS angstrom
9.371 -2.136 0.000
9.371 2.136 0.000
-1.776 0.000 8.505
! **Final energy**: -5.09 eV per atom
! **SG**: C2/m, No. 12

---

4.
! Nd3ErTe6 | the Alexandria database | GGA-PBE | relaxed; values from VASP
&SYSTEM
  ibrav = 0, nat = 20, ntyp = 3
/
ATOMIC_SPECIES
Nd 144.24 Nd.upf
Er 167.26 Er.upf
Te 127.60 Te.upf
ATOMIC_POSITIONS angstrom
Nd 0.000 0.000 0.000
Nd -3.598 4.145 5.644
Nd -3.148 0.992 8.519
Nd 0.450 3.152 2.875
Nd -0.201 5.137 8.414
Nd 3.397 7.297 2.770
Er 0.125 0.000 5.644
Er 3.723 4.145 0.000
Te -1.156 0.428 2.899
Te -4.754 3.717 8.543
Te 1.253 5.573 0.904
Te -2.345 6.862 6.548
Te 2.578 1.489 0.872
Te -1.020 2.656 6.517
Te 1.269 5.634 4.772
Te -2.329 6.801 10.416
Te 2.594 1.428 4.741
Te -1.004 2.717 10.385
Te 5.003 4.573 2.745
Te 1.405 7.862 8.390
CELL_PARAMETERS angstrom
7.445 0.000 0.000
0.000 8.290 0.000
-7.196 0.000 11.289
! **Final energy**: -5.16 eV per atom
! **SG**: P2_1/c, No. 14

---

5.
! NdEr2Te3 | the Alexandria database | GGA-PBE | relaxed; values from VASP
&SYSTEM
  ibrav = 0, nat = 12, ntyp = 3
/
ATOMIC_SPECIES
Nd 144.24 Nd.upf
Er 167.26 Er.upf
Te 127.60 Te.upf
ATOMIC_POSITIONS angstrom
Nd 0.000 0.000 0.000
Nd 2.188 3.087 6.603
Er 0.000 0.000 4.520
Er 0.000 0.000 8.685
Er 2.188 3.087 2.082
Er 2.188 3.087 11.123
Te 0.000 3.087 0.000
Te 0.000 3.087 4.259
Te 0.000 3.087 8.946
Te 2.188 0.000 2.343
Te 2.188 0.000 6.603
Te 2.188 0.000 10.862
CELL_PARAMETERS angstrom
4.375 0.000 0.000
0.000 6.173 0.000
0.000 0.000 13.205
! **Final energy**: -5.17 eV per atom
! **SG**: Immm, No. 71

---

6.
! NdEr3Te6 | the Alexandria database | GGA-PBE | relaxed; values from VASP
&SYSTEM
  ibrav = 0, nat = 20, ntyp = 3
/
ATOMIC_SPECIES
Nd 144.24 Nd.upf
Er 167.26 Er.upf
Te 127.60 Te.upf
ATOMIC_POSITIONS angstrom
Nd -0.248 1.092 2.386
Nd 8.464 3.277 9.683
Er -0.529 1.092 7.033
Er -0.277 3.277 12.052
Er 4.009 1.092 4.042
Er 4.207 3.277 8.028
Er 8.492 1.092 0.017
Er 8.745 3.277 5.036
Te -0.656 3.277 4.878
Te -2.657 1.092 11.684
Te -0.738 3.277 9.055
Te 2.279 3.277 2.690
Te 2.503 1.092 6.753
Te 5.514 1.092 1.409
Te 2.702 3.277 10.660
Te 5.713 3.277 5.316
Te 5.937 1.092 9.379
Te 8.954 1.092 3.014
Te 10.873 3.277 0.386
Te 8.872 1.092 7.192
CELL_PARAMETERS angstrom
12.452 0.000 0.000
0.000 4.369 0.000
-4.237 0.000 12.069
! **Final energy**: -5.12 eV per atom
! **SG**: P2_1/m, No. 11